# 1
{"formula": "KW2Cl", "functional": "PBE", "state": "relaxed", "dos_ef_per_ev_atom": 1.076, "de_polymorph_mev_per_atom": 1330, "crystal_system": "tetragonal", "e_tot_ev_per_atom": -5.645, "raw_formation_energy_ev_per_atom": 1.567, "lattice_angstrom": [[2.769, 0.000, 0.000], [0.000, 2.769, 0.000], [0.000, 0.000, 10.361]], "species": ["K", "W", "W", "Cl"], "frac_coords": [[0.000, 0.000, 0.000], [0.500, 0.500, 0.296], [0.500, 0.500, 0.704], [0.000, 0.000, 0.500]]}

# 2
{"formula": "KW2Cl", "functional": "PBE", "state": "relaxed", "dos_ef_per_ev_atom": 0.362, "de_polymorph_mev_per_atom": 124, "crystal_system": "tetragonal", "e_tot_ev_per_atom": -6.851, "raw_formation_energy_ev_per_atom": 0.361, "lattice_angstrom": [[3.281, 0.000, 0.000], [0.000, 3.281, 0.000], [0.000, 0.000, 8.646]], "species": ["K", "W", "W", "Cl"], "frac_coords": [[0.000, 0.000, 0.000], [0.000, 0.000, 0.491], [0.500, 0.500, 0.361], [0.500, 0.500, 0.780]]}

# 3
{"formula": "KW2Cl", "functional": "PBE", "state": "relaxed", "dos_ef_per_ev_atom": 0.370, "de_polymorph_mev_per_atom": 709, "crystal_system": "orthorhombic", "e_tot_ev_per_atom": -6.266, "raw_formation_energy_ev_per_atom": 0.947, "lattice_angstrom": [[-1.579, 3.400, 5.325], [1.579, -3.400, 5.325], [1.579, 3.400, -5.325]], "species": ["K", "W", "W", "Cl"], "frac_coords": [[0.000, 0.000, 0.000], [0.375, 0.875, 0.500], [0.542, 0.542, 0.000], [0.746, 0.246, 0.500]]}

# 4
{"formula": "KW2Cl", "functional": "PBE", "state": "relaxed", "dos_ef_per_ev_atom": 0.773, "de_polymorph_mev_per_atom": 777, "crystal_system": "tetragonal", "e_tot_ev_per_atom": -6.198, "raw_formation_energy_ev_per_atom": 1.015, "lattice_angstrom": [[3.728, 0.000, 0.000], [0.000, 3.728, 0.000], [0.000, 0.000, 8.235]], "species": ["K", "W", "W", "Cl"], "frac_coords": [[0.000, 0.000, 0.000], [0.000, 0.500, 0.500], [0.500, 0.000, 0.500], [0.500, 0.500, 0.000]]}

# 5
{"formula": "KW2Cl", "functional": "PBE", "state": "relaxed", "dos_ef_per_ev_atom": 0.743, "de_polymorph_mev_per_atom": 1060, "crystal_system": "orthorhombic", "e_tot_ev_per_atom": -5.916, "raw_formation_energy_ev_per_atom": 1.297, "lattice_angstrom": [[1.413, -2.589, 0.000], [1.413, 2.589, 0.000], [0.000, 0.000, 10.720]], "species": ["K", "W", "W", "Cl"], "frac_coords": [[0.000, 0.000, 0.000], [0.500, 0.500, 0.294], [0.500, 0.500, 0.706], [0.000, 0.000, 0.500]]}

# 6
{"formula": "KW2Cl", "functional": "PBE", "state": "relaxed", "dos_ef_per_ev_atom": 0.472, "de_polymorph_mev_per_atom": 1286, "crystal_system": "cubic", "e_tot_ev_per_atom": -5.689, "raw_formation_energy_ev_per_atom": 1.524, "lattice_angstrom": [[0.000, 3.354, 3.354], [3.354, 0.000, 3.354], [3.354, 3.354, 0.000]], "species": ["K", "W", "W", "Cl"], "frac_coords": [[0.000, 0.000, 0.000], [0.250, 0.250, 0.250], [0.500, 0.500, 0.500], [0.750, 0.750, 0.750]]}

# 7
{"formula": "KW2Cl", "functional": "PBE", "state": "relaxed", "dos_ef_per_ev_atom": 0.763, "de_polymorph_mev_per_atom": 526, "crystal_system": "monoclinic", "e_tot_ev_per_atom": -6.449, "raw_formation_energy_ev_per_atom": 0.763, "lattice_angstrom": [[6.931, -1.547, 0.000], [6.931, 1.547, 0.000], [-1.513, 0.000, 4.374]], "species": ["K", "W", "W", "Cl"], "frac_coords": [[0.000, 0.000, 0.000], [0.216, 0.216, 0.644], [0.784, 0.784, 0.356], [0.500, 0.500, 0.500]]}

# 8
{"formula": "KW3Cl9", "functional": "PBE", "state": "relaxed", "dos_ef_per_ev_atom": 0.445, "crystal_system": "trigonal", "e_tot_ev_per_atom": -5.303, "raw_formation_energy_ev_per_atom": -0.951, "lattice_angstrom": [[9.555, 0.000, 0.000], [-4.778, 8.275, 0.000], [0.000, 0.000, 8.551]], "species": ["K", "K", "W", "W", "W", "W", "W", "W", "Cl", "Cl", "Cl", "Cl", "Cl", "Cl", "Cl", "Cl", "Cl", "Cl", "Cl", "Cl", "Cl", "Cl", "Cl", "Cl", "Cl", "Cl"], "frac_coords": [[0.333, 0.667, 0.000], [0.667, 0.333, 0.000], [0.000, 0.180, 0.374], [0.000, 0.820, 0.626], [0.180, 0.000, 0.374], [0.180, 0.180, 0.626], [0.820, 0.000, 0.626], [0.820, 0.820, 0.374], [0.000, 0.201, 0.813], [0.000, 0.390, 0.197], [0.000, 0.610, 0.803], [0.000, 0.799, 0.187], [0.201, 0.000, 0.813], [0.201, 0.201, 0.187], [0.209, 0.418, 0.500], [0.209, 0.791, 0.500], [0.390, 0.000, 0.197], [0.390, 0.390, 0.803], [0.418, 0.209, 0.500], [0.582, 0.791, 0.500], [0.610, 0.000, 0.803], [0.610, 0.610, 0.197], [0.791, 0.209, 0.500], [0.791, 0.582, 0.500], [0.799, 0.000, 0.187], [0.799, 0.799, 0.813]]}

# 9
{"formula": "K2WCl", "functional": "PBE", "state": "relaxed", "de_polymorph_mev_per_atom": 589, "crystal_system": "cubic", "e_tot_ev_per_atom": -3.278, "raw_formation_energy_ev_per_atom": 0.971, "lattice_angstrom": [[0.000, 4.125, 4.125], [4.125, 0.000, 4.125], [4.125, 4.125, 0.000]], "species": ["K", "K", "W", "Cl"], "frac_coords": [[0.000, 0.000, 0.000], [0.250, 0.250, 0.250], [0.500, 0.500, 0.500], [0.750, 0.750, 0.750]]}

# 10
{"formula": "KW2Cl", "functional": "PBE", "state": "relaxed", "dos_ef_per_ev_atom": 0.488, "de_polymorph_mev_per_atom": 186, "crystal_system": "orthorhombic", "e_tot_ev_per_atom": -6.789, "raw_formation_energy_ev_per_atom": 0.424, "lattice_angstrom": [[1.657, -2.600, 0.000], [1.657, 2.600, 0.000], [0.000, 0.000, 9.663]], "species": ["K", "W", "W", "Cl"], "frac_coords": [[0.000, 0.000, 0.000], [0.000, 0.000, 0.482], [0.500, 0.500, 0.673], [0.500, 0.500, 0.241]]}

# 11
{"formula": "KWCl4", "functional": "PBE", "state": "relaxed", "dos_ef_per_ev_atom": 1.492, "de_polymorph_mev_per_atom": 1819, "crystal_system": "cubic", "e_tot_ev_per_atom": -2.777, "raw_formation_energy_ev_per_atom": 0.796, "lattice_angstrom": [[0.000, 4.275, 4.275], [4.275, 0.000, 4.275], [4.275, 4.275, 0.000]], "species": ["K", "W", "Cl", "Cl", "Cl", "Cl"], "frac_coords": [[0.000, 0.000, 0.000], [0.750, 0.750, 0.750], [0.376, 0.376, 0.376], [0.376, 0.376, 0.872], [0.376, 0.872, 0.376], [0.872, 0.376, 0.376]]}

# 12
{"formula": "K2WCl", "functional": "PBE", "state": "relaxed", "dos_ef_per_ev_atom": 0.583, "de_polymorph_mev_per_atom": 170, "crystal_system": "tetragonal", "e_tot_ev_per_atom": -3.697, "raw_formation_energy_ev_per_atom": 0.551, "lattice_angstrom": [[3.101, 0.000, 0.000], [0.000, 3.101, 0.000], [0.000, 0.000, 11.072]], "species": ["K", "K", "W", "Cl"], "frac_coords": [[0.000, 0.000, 0.000], [0.500, 0.500, 0.430], [0.000, 0.000, 0.689], [0.500, 0.500, 0.173]]}

# 13
{"formula": "K3WCl", "functional": "PBE", "state": "relaxed", "dos_ef_per_ev_atom": 0.355, "de_polymorph_mev_per_atom": 0, "crystal_system": "cubic", "e_tot_ev_per_atom": -3.119, "raw_formation_energy_ev_per_atom": 0.499, "lattice_angstrom": [[6.024, 0.000, 0.000], [0.000, 6.024, 0.000], [0.000, 0.000, 6.024]], "species": ["K", "K", "K", "W", "Cl"], "frac_coords": [[0.000, 0.000, 0.500], [0.000, 0.500, 0.000], [0.500, 0.000, 0.000], [0.500, 0.500, 0.500], [0.000, 0.000, 0.000]]}

# 14
{"formula": "KW2Cl", "functional": "PBE", "state": "relaxed", "dos_ef_per_ev_atom": 1.559, "de_polymorph_mev_per_atom": 2532, "crystal_system": "cubic", "e_tot_ev_per_atom": -4.443, "raw_formation_energy_ev_per_atom": 2.769, "lattice_angstrom": [[0.000, 3.343, 3.343], [3.343, 0.000, 3.343], [3.343, 3.343, 0.000]], "species": ["K", "W", "W", "Cl"], "frac_coords": [[0.000, 0.000, 0.000], [0.250, 0.250, 0.250], [0.750, 0.750, 0.750], [0.500, 0.500, 0.500]]}